The following is a DFT calculation (GGA-PBE) of crystalline La4Tb2Ce at its relaxed geometry.

Unit cell a=6.327 b=7.283 c=10.981 alpha=89.79 beta=84.17 gamma=73.20
Space group P1 (No. 1)
Symmetry-distinct sites (fractional):
La 0.000 0.000 0.000 (multiplicity 1)
La 0.007 0.489 0.996 (multiplicity 1)
La 0.155 0.706 0.710 (multiplicity 1)
La 0.295 0.417 0.428 (multiplicity 1)
La 0.574 0.857 0.860 (multiplicity 1)
La 0.714 0.567 0.578 (multiplicity 1)
La 0.861 0.783 0.291 (multiplicity 1)
La 0.869 0.274 0.288 (multiplicity 1)
Tb 0.150 0.206 0.712 (multiplicity 1)
Tb 0.434 0.137 0.144 (multiplicity 1)
Tb 0.434 0.637 0.144 (multiplicity 1)
Tb 0.719 0.067 0.576 (multiplicity 1)
Ce 0.292 0.922 0.428 (multiplicity 1)
Ce 0.576 0.351 0.859 (multiplicity 1)

## Properties
Its formation energy is 0.388 eV/f.u. Its crystal system is triclinic. As for the total magnetization: 0.193 μB per atom.

---

The following is a DFT calculation (GGA-PBE) of crystalline La6Tb2Ce at its relaxed geometry.

Unit cell a=3.6586 b=3.6586 c=27.5575 alpha=90.00 beta=90.00 gamma=120.00
Space group P-6m2 (No. 187)
Symmetry-distinct sites (fractional):
La 0.0000 0.0000 0.0660 (multiplicity 2)
La 0.0000 0.0000 0.2786 (multiplicity 2)
La 0.3333 0.6667 0.3949 (multiplicity 2)
Tb 0.3333 0.6667 0.1711 (multiplicity 2)
Ce 0.0000 0.0000 0.5000 (multiplicity 1)

## Properties
Its formation energy is 0.690 eV/f.u. Its crystal system is hexagonal. As for the total magnetization: 0.087 μB per atom.